Zn2C3 | GGA-PBEsol | relaxed

Geometry as POSCAR:
```
Zn2C3
1.0
-2.175 0.547 1.088
-2.137 -0.753 -1.039
-0.914 -9.629 5.869
C Zn
3 2
direct
0.000 0.000 0.000
0.167 0.167 0.500
0.833 0.833 0.500
0.386 0.386 0.841
0.614 0.614 0.159
```

Properties
Energy relative to the elements   437 kJ/mol of formula units
Mass density   4.589 g cm⁻³
Size of the total moment   0.0 μB per cell
Space-group type   R-3m